Entry P
The following is a DFT calculation (GGA-PBE) of a geometry-optimized Ac2Tb3In4 structure.

## Properties
**D(E_F)**: 17.71 states/eV per cell

```
18
Lattice="-2.182 -6.893 -0.075 4.079 -1.381 8.164 -6.263 5.731 4.099" Properties=species:S:1:pos:R:3 pbc="T T T"
Ac 0.743 -0.296 5.619
Ac -5.109 -2.247 6.569
Ac -5.415 1.673 3.811
Ac 1.049 -4.216 8.377
Tb 0.000 0.000 0.000
Tb 0.949 -4.137 4.045
Tb -1.611 -1.478 8.382
Tb -3.847 -4.512 3.768
Tb -2.756 -1.065 3.806
Tb -0.519 1.969 8.419
In -4.217 -0.668 9.821
In -1.240 -5.321 2.329
In -0.149 -1.875 2.366
In -3.126 2.778 9.859
In 1.248 -0.497 9.330
In -5.614 -2.046 2.857
In -2.795 0.815 6.354
In -1.572 -3.359 5.834
```



Entry Q
The following is a DFT calculation (GGA-PBE) of a geometry-optimized Ac2Tb3In4 structure.

## Properties
**D(E_F)**: 18.55 states/eV per cell

```
18
Lattice="8.268 0.029 0.000 -2.690 8.164 0.000 0.000 0.000 8.587" Properties=species:S:1:pos:R:3 pbc="T T T"
Ac 4.174 1.559 2.786
Ac 5.538 6.648 7.079
Ac 1.404 6.634 5.801
Ac 0.040 1.544 1.508
Tb -1.345 4.082 4.293
Tb 2.789 4.096 0.000
Tb 5.529 2.046 7.121
Tb 4.183 6.161 2.828
Tb 0.049 6.146 1.465
Tb 1.395 2.032 5.759
In 6.926 0.689 4.632
In 2.786 7.518 0.339
In -1.348 7.504 3.955
In 2.792 0.674 8.248
In 5.859 4.097 1.062
In 3.853 4.110 5.355
In -0.281 4.095 7.525
In 1.725 4.083 3.232
```



Pick entry Q: it beats the second-best structure by 101 meV/atom.



Entry P
The following is a DFT calculation (GGA-PBE) of a geometry-optimized AcTbIn4 structure.

## Properties
**D(E_F)**: 5.11 states/eV per cell

```
6
Lattice="-2.482 2.283 5.172 -3.654 -3.543 3.496 1.972 -1.981 5.506" Properties=species:S:1:pos:R:3 pbc="T T T"
Ac -1.041 -0.810 3.543
Tb 0.000 0.000 0.000
In -3.591 -1.033 6.104
In -0.773 -0.251 7.111
In -2.603 -2.026 8.862
In -1.360 -3.170 6.271
```



Entry Q
The following is a DFT calculation (GGA-PBE) of a geometry-optimized AcTbIn4 structure.

## Properties
**D(E_F)**: 17.20 states/eV per cell

```
24
Lattice="-1.578 -2.214 2.522 -3.933 -4.514 -6.425 16.680 -13.065 -1.030" Properties=species:S:1:pos:R:3 pbc="T T T"
Ac 2.898 -6.895 -4.239
Ac 9.849 -10.685 -3.216
Ac 2.619 -2.879 -0.888
Ac 10.128 -14.701 -6.568
Tb -1.114 -3.765 -4.003
Tb 13.861 -13.815 -3.453
Tb 6.617 -6.023 -1.146
Tb 6.130 -11.556 -6.310
In -0.626 -7.094 -3.894
In 11.795 -12.699 -1.040
In 3.286 -6.361 -0.802
In 7.883 -13.433 -4.133
In -3.352 -6.148 -4.769
In 14.521 -13.646 -0.165
In 4.781 -8.720 -1.937
In 6.388 -11.073 -2.997
In 3.623 -10.543 -4.262
In 7.546 -9.250 -0.672
In -1.088 -3.055 -0.637
In 12.257 -16.738 -4.297
In 0.762 -9.479 -5.119
In 10.407 -10.315 0.185
In 0.554 -5.519 -1.772
In 10.615 -14.275 -3.162
```



Pick entry Q: it beats the second-best structure by 10 meV/atom.



Entry P
The following is a DFT calculation (GGA-PBE) of a geometry-optimized AcTbZnIn structure.

## Properties
**D(E_F)**: 3.71 states/eV per cell

```
4
Lattice="-0.220 -2.352 2.998 3.551 -1.216 -0.693 2.823 5.619 4.615" Properties=species:S:1:pos:R:3 pbc="T T T"
Ac 2.012 -1.094 1.720
Tb 3.322 1.512 3.860
Zn 1.114 2.218 1.822
In 2.326 4.628 3.802
```



Entry Q
The following is a DFT calculation (GGA-PBE) of a geometry-optimized AcTbZnIn structure.

## Properties
**D(E_F)**: 4.71 states/eV per cell

```
4
Lattice="5.483 0.000 0.000 2.742 4.749 0.000 2.742 1.583 4.477" Properties=species:S:1:pos:R:3 pbc="T T T"
Ac 2.742 1.583 1.119
Tb 8.225 4.749 3.358
Zn 0.000 0.000 0.000
In 5.483 3.166 2.239
```



Pick entry P: it beats the second-best structure by 44 meV/atom.



Entry P
The following is a DFT calculation (GGA-PBE) of a geometry-optimized Ac3InTc structure.

## Properties
**D(E_F)**: 3.88 states/eV per cell

```
5
Lattice="5.661 0.000 0.000 0.000 5.661 0.000 0.000 0.000 5.661" Properties=species:S:1:pos:R:3 pbc="T T T"
Ac 0.000 2.830 0.000
Ac 0.000 0.000 2.830
Ac 2.830 0.000 0.000
Tc 0.000 0.000 0.000
In 2.830 2.830 2.830
```



Entry Q
The following is a DFT calculation (GGA-PBE) of a geometry-optimized Ac3InTc structure.

## Properties
**D(E_F)**: 18.05 states/eV per cell

```
20
Lattice="-2.951 -7.243 0.268 11.815 -4.757 1.537 -5.388 -11.053 7.211" Properties=species:S:1:pos:R:3 pbc="T T T"
Ac 4.936 -10.781 4.816
Ac -3.602 -13.805 7.551
Ac -1.461 -12.272 4.200
Ac 7.078 -9.248 1.465
Ac 5.203 -19.494 6.718
Ac 0.002 -15.083 6.805
Ac -1.727 -3.559 2.298
Ac 3.473 -7.971 2.211
Ac 3.530 -14.273 4.869
Ac 0.252 -6.508 0.557
Ac -0.054 -8.780 4.147
Ac 3.223 -16.545 8.459
In 1.843 -11.760 3.028
In -3.045 -7.015 1.750
In 1.632 -11.293 5.989
In 6.520 -16.039 7.266
Tc 0.547 -17.658 8.305
Tc -4.144 -13.375 4.073
Tc 2.929 -5.396 0.711
Tc 7.619 -9.678 4.943
```



Pick entry P: it beats the second-best structure by 56 meV/atom.



Entry P
The following is a DFT calculation (GGA-PBE) of a geometry-optimized AcInTe structure.

## Properties
**D(E_F)**: 3.02 states/eV per cell

```
3
Lattice="4.142 0.000 0.000 0.000 4.142 0.000 -2.071 -2.071 5.716" Properties=species:S:1:pos:R:3 pbc="T T T"
Ac 2.071 2.071 1.399
Te 0.000 0.000 3.259
In 2.071 2.071 5.058
```



Entry Q
The following is a DFT calculation (GGA-PBE) of a geometry-optimized AcInTe structure.

## Properties
**D(E_F)**: 1.15 states/eV per cell

```
3
Lattice="-0.175 0.133 -4.057 4.803 -2.265 -0.282 -4.368 -3.032 0.089" Properties=species:S:1:pos:R:3 pbc="T T T"
Ac 1.630 -2.431 -2.863
Te -1.340 -2.754 -0.715
In -0.029 0.022 -0.672
```



Pick entry P: it beats the second-best structure by 7 meV/atom.



Entry P
The following is a DFT calculation (GGA-PBE) of a geometry-optimized AcTh2In structure.

## Properties
**D(E_F)**: 5.49 states/eV per cell

```
4
Lattice="3.514 0.000 0.000 1.757 3.044 0.000 1.757 1.015 12.590" Properties=species:S:1:pos:R:3 pbc="T T T"
Ac 0.000 0.000 0.000
Th 1.757 1.015 9.041
Th 5.272 3.044 3.549
In 3.514 2.029 6.295
```



Entry Q
The following is a DFT calculation (GGA-PBE) of a geometry-optimized AcTh2In structure.

## Properties
**D(E_F)**: 5.46 states/eV per cell

```
4
Lattice="-1.524 -2.644 2.375 -1.697 -1.729 -3.014 7.226 -5.160 -1.109" Properties=species:S:1:pos:R:3 pbc="T T T"
Ac 2.003 -4.767 -0.874
Th 5.677 -4.054 -0.871
Th 1.550 -1.107 -0.238
In -1.611 -2.187 -0.319
```



Entry R
The following is a DFT calculation (GGA-PBE) of a geometry-optimized AcTh2In structure.

## Properties
**D(E_F)**: 4.03 states/eV per cell

```
4
Lattice="5.686 0.000 0.000 2.843 4.924 0.000 2.843 1.641 4.643" Properties=species:S:1:pos:R:3 pbc="T T T"
Ac 0.000 0.000 0.000
Th 2.843 1.641 1.161
Th 8.529 4.924 3.482
In 5.686 3.283 2.321
```



Pick entry Q: it beats the second-best structure by 103 meV/atom.